Entry 1:
A relaxed structure of CaThMgCd, computed with PBE.

POSCAR file:
```
CaThMgCd
1.0
7.7187 0.0000 0.0000
0.0000 7.7187 0.0000
0.0000 0.0000 7.7187
Ca Th Mg Cd
4 4 4 4
Direct
0.0000 0.0000 0.0000 Ca
0.0000 0.5000 0.5000 Ca
0.5000 0.0000 0.5000 Ca
0.5000 0.5000 0.0000 Ca
0.0000 0.0000 0.5000 Th
0.0000 0.5000 0.0000 Th
0.5000 0.0000 0.0000 Th
0.5000 0.5000 0.5000 Th
0.2500 0.2500 0.2500 Mg
0.2500 0.7500 0.7500 Mg
0.7500 0.2500 0.7500 Mg
0.7500 0.7500 0.2500 Mg
0.2500 0.2500 0.7500 Cd
0.2500 0.7500 0.2500 Cd
0.7500 0.2500 0.2500 Cd
0.7500 0.7500 0.7500 Cd
```

Output
- formation enthalpy at 0 K (meV per atom) = -42
- total energy (eV per cell) = -48.39

***

Entry 2:
A relaxed structure of SrCdInSn2, computed with PBE.

POSCAR file:
```
SrCdInSn2
1.0
4.6760 0.0000 0.0000
0.0000 4.6760 0.0000
0.0000 0.0000 13.7480
Sr Cd In Sn
2 2 2 4
Direct
0.0000 0.0000 0.0000 Sr
0.5000 0.5000 0.5000 Sr
0.0000 0.5000 0.7500 Cd
0.5000 0.0000 0.2500 Cd
0.0000 0.5000 0.2500 In
0.5000 0.0000 0.7500 In
0.0000 0.0000 0.3907 Sn
0.0000 0.0000 0.6093 Sn
0.5000 0.5000 0.1093 Sn
0.5000 0.5000 0.8907 Sn
```

Output
- formation enthalpy at 0 K (meV per atom) = -277
- total energy (eV per cell) = -29.45